[1]
Below is crystalline ZnFe2Pt at its relaxed geometry, with properties calculated at the GGA-PBE level.

DFT formation energy = -127 meV/atom
Final energy = -24.75 eV/cell
Spin magnetization = 5.66 Bohr magnetons per cell

a = 4.6659 Å, b = 4.6659 Å, c = 2.6769 Å
α = 89.98°, β = 89.98°, γ = 111.88°
Last column: magnetic moment on the atom in μB.
Element x y z (fractional)
1 Fe 0.0000 0.0000 0.0000  2.73
2 Fe 0.5000 0.5000 0.0000  2.73
3 Pt 0.5000 0.0000 0.5000  0.28
4 Zn 0.0000 0.5000 0.5000  -0.07



[2]
Below is crystalline La3TlRu at its relaxed geometry, with properties calculated at the GGA-PBE level.

DFT formation energy = -286 meV/atom
Final energy = -111.42 eV/cell
Spin magnetization = 0.00 Bohr magnetons per cell

a = 21.9543 Å, b = 6.6963 Å, c = 7.3393 Å
α = 90.00°, β = 145.69°, γ = 90.00°
Element x y z (fractional)
1 Ru 0.3658 0.9873 0.1743
2 Ru 0.6342 0.0127 0.8257
3 Ru 0.1342 0.4873 0.3257
4 Ru 0.8658 0.5127 0.6743
5 Tl 0.0063 0.7938 0.2337
6 Tl 0.9937 0.2062 0.7663
7 Tl 0.4937 0.2938 0.2663
8 Tl 0.5063 0.7062 0.7337
9 La 0.2236 0.0087 0.5566
10 La 0.7764 0.9913 0.4434
11 La 0.2764 0.5087 0.9434
12 La 0.7236 0.4913 0.0566
13 La 0.4897 0.1989 0.7379
14 La 0.5103 0.8011 0.2621
15 La 0.0103 0.6989 0.7621
16 La 0.9897 0.3011 0.2379
17 La 0.2935 0.5184 0.4879
18 La 0.7065 0.4816 0.5121
19 La 0.2065 0.0184 0.0121
20 La 0.7935 0.9816 0.9879



[3]
Below is crystalline Ce2IrC at its relaxed geometry, with properties calculated at the GGA-PBE level.

DFT formation energy = -337 meV/atom
Final energy = -31.30 eV/cell
Spin magnetization = 0.00 Bohr magnetons per cell

a = 3.7506 Å, b = 3.7515 Å, c = 6.9672 Å
α = 90.02°, β = 105.62°, γ = 119.98°
Element x y z (fractional)
1 Ce 0.5034 0.9932 0.2720
2 Ce 0.5430 0.5124 0.8311
3 Ir 0.0232 0.7529 0.5516
4 C 0.0231 0.2526 0.0515